(1)
Below is a relaxed structure of Tm2Pt9Au, with properties calculated at the PBE level.

V: 16.9 A^3/atom
Uncorrected energy: -6.238 eV/atom
Fermi-level density of states: 15.947 states/eV/cell

Cell and atoms, written as CIF:
```
data_Tm2Pt9Au
_chemical_formula_sum 'Tm2 Pt9 Au1'
_cell_length_a 4.0630
_cell_length_b 4.0630
_cell_length_c 12.2559
_cell_angle_alpha 90.00
_cell_angle_beta 90.00
_cell_angle_gamma 90.00
_space_group_name_H-M_alt 'P 4/m m m'
_space_group_IT_number 123
_space_group_name_Hall '-P 4 2'
loop_
_atom_site_label
_atom_site_type_symbol
_atom_site_fract_x
_atom_site_fract_y
_atom_site_fract_z
_atom_site_occupancy
Tm1 Tm 0.0000 0.0000 0.1685 1
Pt1 Pt 0.0000 0.5000 0.0000 1
Pt2 Pt 0.0000 0.5000 0.3351 1
Pt3 Pt 0.5000 0.5000 0.1674 1
Pt4 Pt 0.5000 0.5000 0.5000 1
Au1 Au 0.0000 0.0000 0.5000 1
```

(2)
Below is a relaxed structure of Rb4FeSe4, with properties calculated at the PBE level.

Energy relative to the elements, uncorrected: -0.870 eV per atom
V: 37.1 A^3/atom
Uncorrected energy: -3.789 eV/atom
Fermi-level density of states: 7.918 states/eV/cell

Cell and atoms, written as CIF:
```
data_Rb4FeSe4
_chemical_formula_sum 'Rb8 Fe2 Se8'
_cell_length_a 9.6833
_cell_length_b 9.6833
_cell_length_c 7.1204
_cell_angle_alpha 90.00
_cell_angle_beta 90.00
_cell_angle_gamma 90.00
_space_group_name_H-M_alt 'P 42/n m c'
_space_group_IT_number 137
loop_
_space_group_symop_operation_xyz
'x,y,z'
'-x,-y,-z'
'-y+1/2,x,z+1/2'
'y+1/2,-x,-z+1/2'
'-x+1/2,-y+1/2,z'
'x+1/2,y+1/2,-z'
'y,-x+1/2,z+1/2'
'-y,x+1/2,-z+1/2'
'x+1/2,-y,-z'
'-x+1/2,y,z'
'-y,-x,-z+1/2'
'y,x,z+1/2'
'-x,y+1/2,-z'
'x,-y+1/2,z'
'y+1/2,x+1/2,-z+1/2'
'-y+1/2,-x+1/2,z+1/2'
loop_
_atom_site_label
_atom_site_type_symbol
_atom_site_fract_x
_atom_site_fract_y
_atom_site_fract_z
_atom_site_occupancy
Rb1 Rb 0.0223 0.2500 0.0869 1
Fe1 Fe 0.2500 0.7500 0.2500 1
Se1 Se 0.0412 0.7500 0.4191 1
```

(3)
Below is a relaxed structure of Fe2OsPt, with properties calculated at the PBE level.

V: 13.2 A^3/atom
Uncorrected energy: -8.466 eV/atom
Fermi-level density of states: 10.429 states/eV/cell

Cell and atoms, written as CIF:
```
data_Fe2OsPt
_chemical_formula_sum 'Fe4 Os2 Pt2'
_cell_length_a 4.0088
_cell_length_b 2.6651
_cell_length_c 9.8800
_cell_angle_alpha 90.00
_cell_angle_beta 90.00
_cell_angle_gamma 90.00
_space_group_name_H-M_alt 'A m m 2'
_space_group_IT_number 38
loop_
_space_group_symop_operation_xyz
'x,y,z'
'-x,-y,z'
'-x,y,z'
'x,-y,z'
'x,y+1/2,z+1/2'
'-x,-y+1/2,z+1/2'
'-x,y+1/2,z+1/2'
'x,-y+1/2,z+1/2'
loop_
_atom_site_label
_atom_site_type_symbol
_atom_site_fract_x
_atom_site_fract_y
_atom_site_fract_z
_atom_site_occupancy
Fe1 Fe 0.0000 0.0000 0.0000 1
Fe2 Fe 0.5000 0.0000 0.1287 1
Os1 Os 0.0000 0.0000 0.7299 1
Pt1 Pt 0.5000 0.0000 0.3870 1
```

(4)
Below is a relaxed structure of Pm6HfS12, with properties calculated at the PBE level.

Energy relative to the elements, uncorrected: -1.786 eV per atom
V: 25.5 A^3/atom
Uncorrected energy: -6.416 eV/atom
Fermi-level density of states: 38.429 states/eV/cell

Cell and atoms, written as CIF:
```
data_Pm6HfS12
_chemical_formula_sum 'Pm18 Hf3 S36'
_cell_length_a 12.0874
_cell_length_b 12.0874
_cell_length_c 11.4858
_cell_angle_alpha 90.00
_cell_angle_beta 90.00
_cell_angle_gamma 120.00
_space_group_name_H-M_alt 'R -3'
_space_group_IT_number 148
_space_group_name_Hall '-R 3'
loop_
_atom_site_label
_atom_site_type_symbol
_atom_site_fract_x
_atom_site_fract_y
_atom_site_fract_z
_atom_site_occupancy
Pm1 Pm 0.0559 0.4489 0.3137 1
Hf1 Hf 0.0000 0.0000 0.0000 1
S1 S 0.0423 0.2211 0.3998 1
S2 S 0.0509 0.1985 0.8839 1
```

(5)
Below is a relaxed structure of Nd4GaTe, with properties calculated at the PBE level.

Energy relative to the elements, uncorrected: -0.657 eV per atom
V: 30.0 A^3/atom
Uncorrected energy: -4.864 eV/atom
Fermi-level density of states: 9.674 states/eV/cell

Cell and atoms, written as CIF:
```
data_Nd4GaTe
_chemical_formula_sum 'Nd8 Ga2 Te2'
_cell_length_a 6.2596
_cell_length_b 6.5643
_cell_length_c 8.7743
_cell_angle_alpha 90.00
_cell_angle_beta 91.73
_cell_angle_gamma 90.00
_space_group_name_H-M_alt 'P 1 21/m 1'
_space_group_IT_number 11
loop_
_space_group_symop_operation_xyz
'x,y,z'
'-x,-y,-z'
'-x,y+1/2,-z'
'x,-y+1/2,z'
loop_
_atom_site_label
_atom_site_type_symbol
_atom_site_fract_x
_atom_site_fract_y
_atom_site_fract_z
_atom_site_occupancy
Nd1 Nd 0.1135 0.2500 0.3533 1
Nd2 Nd 0.1612 0.7500 0.0577 1
Nd3 Nd 0.3591 0.0055 0.6910 1
Ga1 Ga 0.2116 0.7500 0.3969 1
Te1 Te 0.3327 0.2500 0.0286 1
```

(6)
Below is a relaxed structure of Rb2GaCoCl6, with properties calculated at the PBE level.

Energy relative to the elements, uncorrected: -1.143 eV per atom
V: 24.1 A^3/atom
Uncorrected energy: -3.458 eV/atom
Fermi-level density of states: 0.523 states/eV/cell

Cell and atoms, written as CIF:
```
data_Rb2GaCoCl6
_chemical_formula_sum 'Rb4 Ga2 Co2 Cl12'
_cell_length_a 7.2759
_cell_length_b 7.2759
_cell_length_c 9.0939
_cell_angle_alpha 90.00
_cell_angle_beta 90.00
_cell_angle_gamma 90.00
_space_group_name_H-M_alt 'I 4/m m m'
_space_group_IT_number 139
_space_group_name_Hall '-I 4 2'
loop_
_atom_site_label
_atom_site_type_symbol
_atom_site_fract_x
_atom_site_fract_y
_atom_site_fract_z
_atom_site_occupancy
Rb1 Rb 0.0000 0.5000 0.2500 1
Ga1 Ga 0.0000 0.0000 0.0000 1
Co1 Co 0.0000 0.0000 0.5000 1
Cl1 Cl 0.0000 0.0000 0.2570 1
Cl2 Cl 0.2283 0.2283 0.5000 1
```

Q: Look up the Fermi-level density of states of the third one.
A: 10.429 states/eV/cell